VASP calculation (PBE) on crystalline Cs3TcSe4 at its relaxed geometry.

The structure in POSCAR format:
```
Cs3TcSe4
1.0
7.239 0.000 0.000
0.000 6.787 0.000
0.000 0.000 13.838
Cs Tc Se
6 2 8
Cartesian
3.343 5.444 0.000
0.696 5.059 3.415
4.316 1.728 3.504
6.962 1.343 6.919
4.316 1.728 10.334
0.696 5.059 10.423
7.058 1.088 0.000
3.438 5.699 6.919
6.864 5.533 0.000
4.879 1.970 0.000
0.956 1.664 2.002
4.575 5.123 4.917
1.259 4.817 6.919
3.244 1.254 6.919
4.575 5.123 8.921
0.956 1.664 11.836
```

The calculation puts the formation energy (no corrections) at -797 meV/atom. The total magnetization is 0.2504 μB per atom. Its space-group type is Pmn2_1, No. 31.

---

VASP calculation (PBE) on crystalline ErFeTc at its relaxed geometry.

The structure in POSCAR format:
```
ErFeTc
1.0
-4.071 3.358 -0.362
2.307 -2.093 -4.275
-0.754 -4.928 1.768
Er Fe Tc
2 2 2
Cartesian
-1.391 -3.724 0.926
-1.126 0.062 -3.795
-1.258 -1.831 -1.435
1.154 -1.046 -2.138
0.777 -3.510 -1.253
-2.412 -0.785 0.703
```

The total magnetization is 0.6431 μB per atom. Its space-group type is Imma, No. 74. The energy relative to the elements comes out at -0.45 eV/f.u.

---

Q: Which of these has the highest total magnetization?
A: ErFeTc